No. 1
Here is LaTe3Br at its PBEsol-relaxed geometry from Alexandria via LeMat-Bulk. Energies are from SCAN.

Lattice parameters (Å, degrees): 6.0476 6.0476 6.0476 90.00 90.00 90.00
Space group Pm-3m (No. 221)
Unique sites:
La 0.0000 0.0000 0.0000 x1
Te 0.0000 0.0000 0.5000 x3
Br 0.5000 0.5000 0.5000 x1

Output
The polymorph energy (0 for the lowest one) comes out at 0.125 eV/atom.

=====

No. 2
Here is LaTiBr2 at its PBEsol-relaxed geometry from Alexandria via LeMat-Bulk. Energies are from SCAN.

Lattice parameters (Å, degrees): 3.5422 3.5422 28.7676 90.00 90.00 120.00
Space group R-3m (No. 166, hexagonal axes)
Unique sites:
La 0.0000 0.0000 0.0000 x3
Ti 0.0000 0.0000 0.5000 x3
Br 0.0000 0.0000 0.4110 x6

=====

No. 3
Here is La2TiBr at its PBEsol-relaxed geometry from Alexandria via LeMat-Bulk. Energies are from SCAN.

Lattice parameters (Å, degrees): 7.5592 7.5592 7.5592 90.00 90.00 90.00
Space group Fm-3m (No. 225)
Unique sites:
La 0.2500 0.2500 0.2500 x8
Ti 0.0000 0.0000 0.0000 x4
Br 0.0000 0.0000 0.5000 x4

=====

No. 4
Here is LaTlBr2 at its PBEsol-relaxed geometry from Alexandria via LeMat-Bulk. Energies are from SCAN.

Lattice parameters (Å, degrees): 3.6121 3.6121 9.2541 90.00 90.00 90.00
Space group P4/mmm (No. 123)
Unique sites:
La 0.0000 0.0000 0.0000 x1
Tl 0.0000 0.0000 0.5000 x1
Br 0.5000 0.5000 0.1878 x2

Output
The polymorph energy (0 for the lowest one) comes out at 0.000 eV/atom.

=====

No. 5
Here is La2TlBr at its PBEsol-relaxed geometry from Alexandria via LeMat-Bulk. Energies are from SCAN.

Lattice parameters (Å, degrees): 4.5712 4.5712 20.3808 90.00 90.00 120.00
Space group R-3m (No. 166, hexagonal axes)
Unique sites:
La 0.0000 0.0000 0.2471 x6
Tl 0.0000 0.0000 0.0000 x3
Br 0.0000 0.0000 0.5000 x3

Output
The polymorph energy (0 for the lowest one) comes out at 0.048 eV/atom.

=====

No. 6
Here is LaTlBr2 at its PBEsol-relaxed geometry from Alexandria via LeMat-Bulk. Energies are from SCAN.

Lattice parameters (Å, degrees): 4.3522 4.3522 11.5356 90.00 90.00 90.00
Space group I-4m2 (No. 119)
Unique sites:
La 0.0000 0.0000 0.0000 x2
Tl 0.0000 0.5000 0.2500 x2
Br 0.0000 0.0000 0.5000 x2
Br 0.0000 0.5000 0.7500 x2

Output
The polymorph energy (0 for the lowest one) comes out at 0.144 eV/atom.

=====

No. 7
Here is LaTlBr2 at its PBEsol-relaxed geometry from Alexandria via LeMat-Bulk. Energies are from SCAN.

Lattice parameters (Å, degrees): 4.0024 4.0024 30.6912 90.00 90.00 120.00
Space group R-3m (No. 166, hexagonal axes)
Unique sites:
La 0.0000 0.0000 0.0000 x3
Tl 0.0000 0.0000 0.5000 x3
Br 0.0000 0.0000 0.0927 x6

Output
The polymorph energy (0 for the lowest one) comes out at 0.345 eV/atom.

=====

No. 8
Here is La2TlBr at its PBEsol-relaxed geometry from Alexandria via LeMat-Bulk. Energies are from SCAN.

Lattice parameters (Å, degrees): 4.8783 6.2780 4.0033 90.00 90.00 90.00
Space group Pmm2 (No. 25)
Unique sites:
La 0.0000 0.0000 0.0000 x1
La 0.5000 0.5000 0.4985 x1
Tl 0.5000 0.0000 0.5004 x1
Br 0.0000 0.5000 0.9985 x1

Output
The polymorph energy (0 for the lowest one) comes out at 0.013 eV/atom.

=====

No. 9
Here is LaTl2Br at its PBEsol-relaxed geometry from Alexandria via LeMat-Bulk. Energies are from SCAN.

Lattice parameters (Å, degrees): 4.3369 4.3369 11.5584 90.00 90.00 90.00
Space group I4/mmm (No. 139)
Unique sites:
La 0.0000 0.0000 0.0000 x2
Tl 0.0000 0.5000 0.2500 x4
Br 0.0000 0.0000 0.5000 x2

Output
The polymorph energy (0 for the lowest one) comes out at 0.000 eV/atom.

=====

No. 10
Here is LaTlBr at its PBEsol-relaxed geometry from Alexandria via LeMat-Bulk. Energies are from SCAN.

Lattice parameters (Å, degrees): 7.3195 7.3195 7.3195 90.00 90.00 90.00
Space group F-43m (No. 216)
Unique sites:
La 0.0000 0.0000 0.0000 x4
Tl 0.2500 0.2500 0.7500 x4
Br 0.2500 0.2500 0.2500 x4

Output
The polymorph energy (0 for the lowest one) comes out at 0.268 eV/atom.

=====

No. 11
Here is LaTl3Br at its PBEsol-relaxed geometry from Alexandria via LeMat-Bulk. Energies are from SCAN.

Lattice parameters (Å, degrees): 5.6353 5.6353 5.6353 90.00 90.00 90.00
Space group Pm-3m (No. 221)
Unique sites:
La 0.0000 0.0000 0.0000 x1
Tl 0.0000 0.5000 0.5000 x3
Br 0.5000 0.5000 0.5000 x1

=====

No. 12
Here is LaTl2Br at its PBEsol-relaxed geometry from Alexandria via LeMat-Bulk. Energies are from SCAN.

Lattice parameters (Å, degrees): 6.3229 10.0325 3.5531 90.00 90.00 90.00
Space group Cmmm (No. 65)
Unique sites:
La 0.0000 0.0000 0.0000 x2
Tl 0.2500 0.2500 0.5000 x4
Br 0.0000 0.5000 0.0000 x2

Output
The polymorph energy (0 for the lowest one) comes out at 0.072 eV/atom.

=====

No. 13
Here is LaTlBr at its PBEsol-relaxed geometry from Alexandria via LeMat-Bulk. Energies are from SCAN.

Lattice parameters (Å, degrees): 3.7737 3.7737 7.5673 90.00 90.00 120.00
Space group P3m1 (No. 156)
Unique sites:
La 0.0000 0.0000 0.0000 x1
Tl 0.3333 0.6667 0.6687 x1
Br 0.6667 0.3333 0.2789 x1

Output
The polymorph energy (0 for the lowest one) comes out at 0.000 eV/atom.

=====

No. 14
Here is La2TlBr at its PBEsol-relaxed geometry from Alexandria via LeMat-Bulk. Energies are from SCAN.

Lattice parameters (Å, degrees): 5.0849 5.7766 7.8432 90.00 90.00 90.00
Space group Immm (No. 71)
Unique sites:
La 0.0000 0.0000 0.2388 x4
Tl 0.0000 0.5000 0.0000 x2
Br 0.0000 0.5000 0.5000 x2

Output
The polymorph energy (0 for the lowest one) comes out at 0.177 eV/atom.

=====

No. 15
Here is La2TlBr at its PBEsol-relaxed geometry from Alexandria via LeMat-Bulk. Energies are from SCAN.

Lattice parameters (Å, degrees): 4.4324 4.4324 6.2708 90.00 90.00 90.00
Space group P4/mmm (No. 123)
Unique sites:
La 0.0000 0.0000 0.0000 x1
La 0.5000 0.5000 0.5000 x1
Tl 0.0000 0.0000 0.5000 x1
Br 0.5000 0.5000 0.0000 x1

Output
The polymorph energy (0 for the lowest one) comes out at 0.000 eV/atom.

=====

No. 16
Here is LaW2Br at its PBEsol-relaxed geometry from Alexandria via LeMat-Bulk. Energies are from SCAN.

Lattice parameters (Å, degrees): 3.0046 5.2211 9.8652 90.00 90.00 90.00
Space group Cmmm (No. 65)
Unique sites:
La 0.0000 0.0000 0.0000 x2
W 0.0000 0.5000 0.2686 x4
Br 0.0000 0.0000 0.5000 x2

Output
The polymorph energy (0 for the lowest one) comes out at 1.037 eV/atom.

=====

No. 17
Here is LaW2Br at its PBEsol-relaxed geometry from Alexandria via LeMat-Bulk. Energies are from SCAN.

Lattice parameters (Å, degrees): 3.2782 5.7657 4.7445 90.00 90.81 90.00
Space group P2/m (No. 10)
Unique sites:
La 0.0000 0.0000 0.0000 x1
W 0.2588 0.5000 0.1937 x2
Br 0.5000 0.0000 0.5000 x1

Output
The polymorph energy (0 for the lowest one) comes out at 0.298 eV/atom.

=====

No. 18
Here is LaWBr2 at its PBEsol-relaxed geometry from Alexandria via LeMat-Bulk. Energies are from SCAN.

Lattice parameters (Å, degrees): 7.0893 7.0893 7.0893 90.00 90.00 90.00
Space group Fm-3m (No. 225)
Unique sites:
La 0.0000 0.0000 0.0000 x4
W 0.0000 0.0000 0.5000 x4
Br 0.2500 0.2500 0.2500 x8

Output
The polymorph energy (0 for the lowest one) comes out at 0.000 eV/atom.

=====

No. 19
Here is LaWBr2 at its PBEsol-relaxed geometry from Alexandria via LeMat-Bulk. Energies are from SCAN.

Lattice parameters (Å, degrees): 3.3789 3.3789 9.4373 90.00 90.00 90.00
Space group P4/mmm (No. 123)
Unique sites:
La 0.0000 0.0000 0.0000 x1
W 0.0000 0.0000 0.5000 x1
Br 0.5000 0.5000 0.1972 x2

Output
The polymorph energy (0 for the lowest one) comes out at 0.069 eV/atom.

=====

No. 20
Here is LaW2Br at its PBEsol-relaxed geometry from Alexandria via LeMat-Bulk. Energies are from SCAN.

Lattice parameters (Å, degrees): 2.9686 2.9686 30.2507 90.00 90.00 120.00
Space group R-3m (No. 166, hexagonal axes)
Unique sites:
La 0.0000 0.0000 0.0000 x3
W 0.0000 0.0000 0.2382 x6
Br 0.0000 0.0000 0.5000 x3

Output
The polymorph energy (0 for the lowest one) comes out at 0.966 eV/atom.

=====

no.,formation energy without anion corrections (eV per formula unit),DFT total energy (eV/atom),Fermi-level density of states (states/eV/atom)
1,-0.507,-34.965,1.5588
2,-3.224,-25.320,0.8046
3,-0.358,-30.514,0.7851
4,-5.285,-39.917,0.4673
5,-4.336,-45.591,0.6383
6,-4.710,-39.773,0.2954
7,-3.903,-39.571,0.3704
8,-4.477,-45.626,0.4828
9,-2.786,-52.517,0.8522
10,-1.858,-45.594,1.3423
11,0.332,-55.862,0.7488
12,-2.498,-52.445,0.8384
13,-2.661,-45.861,0.7300
14,-3.823,-45.463,0.7275
15,-4.530,-45.639,0.5292
16,5.326,-49.154,0.9003
17,2.368,-49.893,0.8926
18,1.337,-37.594,0.6512
19,1.612,-37.525,0.7740
20,5.042,-49.225,0.9611